DFT (PBE) results for crystalline ScIr3 at its relaxed geometry.

Calculated values
The value obtained for the energy relative to the elements is -0.494 eV/atom. The electronic total energy is -69.8 eV for the cell shown.

a = 3.9556 Å, b = 3.9556 Å, c = 7.8945 Å
α = 90.00°, β = 90.00°, γ = 90.00°
With the nearest neighbours (Å) after each atom.
Space group I4/mmm (No. 139)
Symmetry-distinct sites (fractional):
Sc1 0.0000 0.0000 0.0000  12 Ir 2.79-2.80
Ir1 0.0000 0.0000 0.5000  8 Ir 2.79, 4 Sc 2.80
Ir2 0.0000 0.5000 0.2500  8 Ir 2.79-2.80, 4 Sc 2.79